[1]
VASP calculation (PBEsol) on crystalline Bi2BS at its relaxed geometry.

Computed properties:
As for the raw formation energy: 593 meV per atom. As for the final energy: -0.3234 Ry/atom.

Cell lengths 6.650, 6.650, 8.752 Å; angles 90.00, 90.00, 90.00 degrees
Space group I-42d (No. 122)
Inequivalent atoms, fractional coordinates:
Bi1 0.198 0.750 0.125 (multiplicity 8)
B1 0.000 0.000 0.000 (multiplicity 4)
S1 0.000 0.000 0.500 (multiplicity 4)

[2]
VASP calculation (PBEsol) on crystalline Al3WF at its relaxed geometry.

Computed properties:
As for the raw formation energy: -130 meV per atom. As for the final energy: -0.4213 Ry/atom.

Cell lengths 4.119, 4.119, 4.119 Å; angles 90.00, 90.00, 90.00 degrees
Space group Pm-3m (No. 221)
Inequivalent atoms, fractional coordinates:
Al1 0.000 0.000 0.500 (multiplicity 3)
W1 0.500 0.500 0.500 (multiplicity 1)
F1 0.000 0.000 0.000 (multiplicity 1)

[3]
VASP calculation (PBEsol) on crystalline LuB2C at its relaxed geometry.

Computed properties:
The formation energy is -634 meV per atom. As for the final energy: -0.5712 Ry/atom.

Cell lengths 6.632, 6.766, 3.523 Å; angles 90.00, 90.00, 90.00 degrees
Space group Pbam (No. 55)
Inequivalent atoms, fractional coordinates:
Lu1 0.189 0.193 0.000 (multiplicity 4)
B1 0.096 0.907 0.500 (multiplicity 4)
B2 0.153 0.467 0.500 (multiplicity 4)
C1 0.041 0.679 0.500 (multiplicity 4)

[4]
VASP calculation (PBEsol) on crystalline MgZrBe at its relaxed geometry.

Computed properties:
The formation energy is 215 meV per atom. As for the final energy: -0.3470 Ry/atom.

Cell lengths 4.3514, 4.3514, 3.1781 Å; angles 90.00, 90.00, 120.00 degrees
Space group P-6m2 (No. 187)
Inequivalent atoms, fractional coordinates:
Mg1 0.0000 0.0000 0.0000 (multiplicity 1)
Zr1 0.3333 0.6667 0.5000 (multiplicity 1)
Be1 0.6667 0.3333 0.0000 (multiplicity 1)

[5]
VASP calculation (PBEsol) on crystalline Mg3Sc at its relaxed geometry.

Computed properties:
The formation energy is -32 meV per atom. As for the final energy: -0.2184 Ry/atom.

Cell lengths 4.478, 4.478, 4.478 Å; angles 90.00, 90.00, 90.00 degrees
Space group Pm-3m (No. 221)
Inequivalent atoms, fractional coordinates:
Mg1 0.000 0.000 0.500 (multiplicity 3)
Sc1 0.500 0.500 0.500 (multiplicity 1)

[6]
VASP calculation (PBEsol) on crystalline ReRh7 at its relaxed geometry.

Computed properties:
The formation energy is -70 meV per atom. The energy above the most stable polymorph in this dataset comes out at 0 meV/atom. As for the final energy: -0.6510 Ry/atom.

Cell lengths 5.345, 10.730, 3.787 Å; angles 90.00, 90.00, 90.00 degrees
Space group Cmmm (No. 65)
Inequivalent atoms, fractional coordinates:
Re1 0.000 0.000 0.000 (multiplicity 2)
Rh1 0.000 0.245 0.000 (multiplicity 4)
Rh2 0.000 0.500 0.000 (multiplicity 2)
Rh3 0.246 0.123 0.500 (multiplicity 8)